The following is a PBE calculation of an optimized crystal structure of Rb3TiH, from the Alexandria database.

energy relative to the lowest polymorph listed for this composition: 0.000 eV per atom
space-group type: Pm-3m (221)
theoretical density: 2.4 g cm⁻³

a = 5.9947 Å, b = 5.9947 Å, c = 5.9947 Å
α = 90.00°, β = 90.00°, γ = 90.00°
Atoms (fractional coordinates):
Rb (0.0000, 0.0000, 0.5000)
Rb (0.0000, 0.5000, 0.0000)
Rb (0.5000, 0.0000, 0.0000)
Ti (0.5000, 0.5000, 0.5000)
H (0.0000, 0.0000, 0.0000)